(1)
The following is a DFT calculation (GGA-PBE) of a relaxed structure of Na2Sr2Mg15.

```
data_Na2Sr2Mg15
_chemical_formula_sum 'Na6 Sr6 Mg45'
_space_group_name_H-M_alt 'R -3 m'
_space_group_IT_number 166
_space_group_name_Hall '-R 3 2"'
_cell_length_a 10.7239
_cell_length_b 10.7239
_cell_length_c 15.4350
_cell_angle_alpha 90.00
_cell_angle_beta 90.00
_cell_angle_gamma 120.00
loop_
_atom_site_label
_atom_site_type_symbol
_atom_site_fract_x
_atom_site_fract_y
_atom_site_fract_z
Na1 Na 0.0000 0.0000 0.0979
Sr1 Sr 0.0000 0.0000 0.3419
Mg1 Mg 0.0000 0.3102 0.0000
Mg2 Mg 0.0000 0.5000 0.5000
Mg3 Mg 0.0073 0.5037 0.1561
```

Formation enthalpy at 0 K (eV per atom): -0.021
Magnetization (μB per cell): 0.00
Volume (A^3/atom): 26.97
D(E_F) (states/eV/cell): 30.0


(2)
The following is a DFT calculation (GGA-PBE) of a relaxed structure of NaSr8Mg2.

```
data_NaSr8Mg2
_chemical_formula_sum 'Na2 Sr16 Mg4'
_space_group_name_H-M_alt 'C 1 2/m 1'
_space_group_IT_number 12
_cell_length_a 18.7651
_cell_length_b 6.3694
_cell_length_c 9.8023
_cell_angle_alpha 90.00
_cell_angle_beta 118.82
_cell_angle_gamma 90.00
loop_
_space_group_symop_operation_xyz
'x,y,z'
'-x,-y,-z'
'-x,y,-z'
'x,-y,z'
'x+1/2,y+1/2,z'
'-x+1/2,-y+1/2,-z'
'-x+1/2,y+1/2,-z'
'x+1/2,-y+1/2,z'
loop_
_atom_site_label
_atom_site_type_symbol
_atom_site_fract_x
_atom_site_fract_y
_atom_site_fract_z
Na1 Na 0.0000 0.0000 0.0000
Sr1 Sr 0.0562 0.5000 0.7258
Sr2 Sr 0.1091 0.0000 0.4677
Sr3 Sr 0.1481 0.5000 0.2124
Sr4 Sr 0.1831 0.0000 0.9514
Mg1 Mg 0.2196 0.5000 0.6287
```

Formation enthalpy at 0 K (eV per atom): 0.014
Magnetization (μB per cell): 0.00
Offset from the most stable computed form (eV/f.u.): 0.00
Volume (A^3/atom): 46.66
D(E_F) (states/eV/cell): 22.6


(3)
The following is a DFT calculation (GGA-PBE) of a relaxed structure of NaSrMg14.

```
data_NaSrMg14
_chemical_formula_sum 'Na2 Sr2 Mg28'
_space_group_name_H-M_alt 'A m m 2'
_space_group_IT_number 38
_cell_length_a 10.6766
_cell_length_b 6.4607
_cell_length_c 11.7229
_cell_angle_alpha 90.00
_cell_angle_beta 90.00
_cell_angle_gamma 90.00
loop_
_space_group_symop_operation_xyz
'x,y,z'
'-x,-y,z'
'-x,y,z'
'x,-y,z'
'x,y+1/2,z+1/2'
'-x,-y+1/2,z+1/2'
'-x,y+1/2,z+1/2'
'x,-y+1/2,z+1/2'
loop_
_atom_site_label
_atom_site_type_symbol
_atom_site_fract_x
_atom_site_fract_y
_atom_site_fract_z
Na1 Na 0.0000 0.0000 0.0000
Sr1 Sr 0.0000 0.0000 0.5077
Mg1 Mg 0.0000 0.2478 0.7576
Mg2 Mg 0.2461 0.0000 0.1662
Mg3 Mg 0.2593 0.0000 0.6712
Mg4 Mg 0.2649 0.2492 0.9128
Mg5 Mg 0.5000 0.0000 0.0054
Mg6 Mg 0.5000 0.0000 0.5052
Mg7 Mg 0.5000 0.2464 0.2506
```

Formation enthalpy at 0 K (eV per atom): 0.056
Magnetization (μB per cell): 0.00
Offset from the most stable computed form (eV/f.u.): 0.09
Volume (A^3/atom): 25.27
D(E_F) (states/eV/cell): 13.9


(4)
The following is a DFT calculation (GGA-PBE) of a relaxed structure of Na12Sr16Mg.

```
data_Na12Sr16Mg
_chemical_formula_sum 'Na24 Sr32 Mg2'
_space_group_name_H-M_alt 'C 1 m 1'
_space_group_IT_number 8
_cell_length_a 13.9426
_cell_length_b 19.4445
_cell_length_c 12.0623
_cell_angle_alpha 90.00
_cell_angle_beta 124.40
_cell_angle_gamma 90.00
loop_
_space_group_symop_operation_xyz
'x,y,z'
'x,-y,z'
'x+1/2,y+1/2,z'
'x+1/2,-y+1/2,z'
loop_
_atom_site_label
_atom_site_type_symbol
_atom_site_fract_x
_atom_site_fract_y
_atom_site_fract_z
Na1 Na 0.0000 0.0000 0.0000
Na2 Na 0.0524 0.4044 0.4774
Na3 Na 0.1518 0.3153 0.0069
Na4 Na 0.3234 0.5000 0.6400
Na5 Na 0.3862 0.0883 0.8399
Na6 Na 0.4102 0.4093 0.1900
Na7 Na 0.4668 0.1857 0.6507
Sr1 Sr 0.1119 0.1201 0.8166
Sr2 Sr 0.1260 0.1878 0.5074
Sr3 Sr 0.1463 0.5000 0.1864
Sr4 Sr 0.1461 0.5000 0.8262
Sr5 Sr 0.1904 0.1590 0.2134
Sr6 Sr 0.2668 0.0000 0.4801
Sr7 Sr 0.3065 0.3412 0.4370
Sr8 Sr 0.3306 0.3170 0.8255
Sr9 Sr 0.3369 0.0000 0.1456
Sr10 Sr 0.4495 0.1950 0.1527
Mg1 Mg 0.0007 0.0000 0.5058
```

Formation enthalpy at 0 K (eV per atom): 0.029
Magnetization (μB per cell): 0.00
Volume (A^3/atom): 46.52
D(E_F) (states/eV/cell): 40.1